Entry from Alexandria: a relaxed structure of Bi2HCl (PBEsol).

VASP energy, eV/atom: -3.284
Total moment, μB/atom: 0.000
Theoretical density, Mg/m³: 7.74
Crystal system: tetragonal
Fermi-level density of states, states/eV/f.u.: 1.8

a b c (Å): 6.6748 6.6748 6.6748
angles (deg): 124.30 124.30 82.71
Element x y z (fractional)
Bi (0.0117, 0.1250, 0.3867)
Bi (0.3750, 0.9883, 0.1133)
Bi (0.7383, 0.6250, 0.6133)
Bi (0.8750, 0.2617, 0.8867)
H (0.0000, 0.0000, 0.0000)
H (0.7500, 0.2500, 0.5000)
Cl (0.2500, 0.7500, 0.5000)
Cl (0.5000, 0.5000, 0.0000)

Entry from Alexandria: a relaxed structure of BiH2Cl (PBEsol).

VASP energy, eV/atom: -3.094
Total moment, μB/atom: 0.000
Theoretical density, Mg/m³: 6.11
Crystal system: tetragonal
Fermi-level density of states, states/eV/f.u.: 0.3

a b c (Å): 7.3018 7.3018 7.3018
angles (deg): 143.97 143.97 51.88
Element x y z (fractional)
Bi (0.3750, 0.6250, 0.7500)
Bi (0.6250, 0.3750, 0.2500)
H (0.0000, 0.5000, 0.5000)
H (0.5000, 0.0000, 0.0000)
H (0.5000, 0.5000, 0.0000)
H (0.5000, 0.5000, 0.5000)
Cl (0.1250, 0.8750, 0.2500)
Cl (0.8750, 0.1250, 0.7500)

Entry from Alexandria: a relaxed structure of BiH3Cl (PBEsol).

VASP energy, eV/atom: -2.315
Total moment, μB/atom: 0.000
Theoretical density, Mg/m³: 7.15
Crystal system: cubic
Fermi-level density of states, states/eV/f.u.: 3.3

a b c (Å): 3.8583 3.8583 3.8583
angles (deg): 90.00 90.00 90.00
Element x y z (fractional)
Bi (0.0000, 0.0000, 0.0000)
H (0.0000, 0.5000, 0.5000)
H (0.5000, 0.0000, 0.5000)
H (0.5000, 0.5000, 0.0000)
Cl (0.5000, 0.5000, 0.5000)

Entry from Alexandria: a relaxed structure of TaBiH2Cl (PBEsol).

VASP energy, eV/atom: -3.916
Total moment, μB/atom: 0.576
Theoretical density, Mg/m³: 6.93
Crystal system: tetragonal
Fermi-level density of states, states/eV/f.u.: 3.7

a b c (Å): 3.7736 3.7736 7.1906
angles (deg): 90.00 90.00 90.00
Element x y z (fractional)
Ta (0.0000, 0.0000, 0.0000)
Bi (0.5000, 0.5000, 0.5000)
H (0.0000, 0.5000, 0.5000)
H (0.5000, 0.0000, 0.5000)
Cl (0.5000, 0.5000, 0.0000)

Entry from Alexandria: a relaxed structure of HfBiPCl2 (PBEsol).

Total moment, μB/atom: 0.124
Formation energy without anion corrections, eV per atom: -0.480
Theoretical density, Mg/m³: 6.77
Crystal system: tetragonal
Fermi-level density of states, states/eV/f.u.: 4.0

a b c (Å): 4.7877 4.7877 5.2363
angles (deg): 90.00 90.00 90.00
Element x y z (fractional)
Hf (0.0000, 0.0000, 0.0000)
Bi (0.5000, 0.5000, 0.5000)
P (0.0000, 0.0000, 0.5000)
Cl (0.0000, 0.5000, 0.0000)
Cl (0.5000, 0.0000, 0.0000)

Entry from Alexandria: a relaxed structure of HfBiS2Cl (PBEsol).

Total moment, μB/atom: 0.361
Formation energy without anion corrections, eV per atom: 0.557
Theoretical density, Mg/m³: 5.85
Crystal system: tetragonal
Fermi-level density of states, states/eV/f.u.: 5.0

a b c (Å): 5.2290 5.2290 5.0599
angles (deg): 90.00 90.00 90.00
Element x y z (fractional)
Hf (0.0000, 0.0000, 0.0000)
Bi (0.5000, 0.5000, 0.5000)
S (0.0000, 0.5000, 0.5000)
S (0.5000, 0.0000, 0.5000)
Cl (0.5000, 0.5000, 0.0000)

Entry from Alexandria: a relaxed structure of HfBiSCl2 (PBEsol).

Total moment, μB/atom: 0.161
Formation energy without anion corrections, eV per atom: 0.494
Theoretical density, Mg/m³: 5.42
Crystal system: tetragonal
Fermi-level density of states, states/eV/f.u.: 3.4

a b c (Å): 5.2998 5.2998 5.3511
angles (deg): 90.00 90.00 90.00
Element x y z (fractional)
Hf (0.0000, 0.0000, 0.0000)
Bi (0.5000, 0.5000, 0.5000)
S (0.5000, 0.5000, 0.0000)
Cl (0.0000, 0.5000, 0.5000)
Cl (0.5000, 0.0000, 0.5000)

Entry from Alexandria: a relaxed structure of HfBiSbCl2 (PBEsol).

Total moment, μB/atom: 0.000
Formation energy without anion corrections, eV per atom: 0.273
Theoretical density, Mg/m³: 6.55
Crystal system: tetragonal
Fermi-level density of states, states/eV/f.u.: 2.7

a b c (Å): 4.9138 4.9138 6.0873
angles (deg): 90.00 90.00 90.00
Element x y z (fractional)
Hf (0.0000, 0.0000, 0.0000)
Bi (0.5000, 0.5000, 0.0000)
Sb (0.0000, 0.0000, 0.5000)
Cl (0.0000, 0.5000, 0.5000)
Cl (0.5000, 0.0000, 0.5000)

Entry from Alexandria: a relaxed structure of HgBi2Cl2 (PBEsol).

Total moment, μB/atom: 0.000
Formation energy without anion corrections, eV per atom: -0.363
Theoretical density, Mg/m³: 7.15
Crystal system: tetragonal
Fermi-level density of states, states/eV/f.u.: 1.3

a b c (Å): 7.7353 7.7353 5.3519
angles (deg): 90.00 90.00 90.00
Element x y z (fractional)
Hg (0.0000, 0.0000, 0.0000)
Hg (0.5000, 0.5000, 0.0000)
Bi (0.1438, 0.3562, 0.0000)
Bi (0.3562, 0.8562, 0.0000)
Bi (0.6438, 0.1438, 0.0000)
Bi (0.8562, 0.6438, 0.0000)
Cl (0.1881, 0.3119, 0.5000)
Cl (0.3119, 0.8119, 0.5000)
Cl (0.6881, 0.1881, 0.5000)
Cl (0.8119, 0.6881, 0.5000)

Entry from Alexandria: a relaxed structure of HgBiCl3 (PBEsol).

Total moment, μB/atom: 0.000
Formation energy without anion corrections, eV per atom: -0.613
Theoretical density, Mg/m³: 5.55
Crystal system: cubic

a b c (Å): 5.3646 5.3646 5.3646
angles (deg): 90.00 90.00 90.00
Element x y z (fractional)
Hg (0.0000, 0.0000, 0.0000)
Bi (0.5000, 0.5000, 0.5000)
Cl (0.0000, 0.5000, 0.5000)
Cl (0.5000, 0.0000, 0.5000)
Cl (0.5000, 0.5000, 0.0000)

Entry from Alexandria: a relaxed structure of HgBiCl3 (PBEsol).

Total moment, μB/atom: 0.000
Formation energy without anion corrections, eV per atom: -0.701
Theoretical density, Mg/m³: 5.82
Crystal system: triclinic
Fermi-level density of states, states/eV/f.u.: 0.0

a b c (Å): 6.6465 7.2102 7.4285
angles (deg): 71.38 65.54 67.89
Element x y z (fractional)
Hg (0.1836, 0.0823, 0.0037)
Hg (0.8164, 0.9177, 0.9963)
Bi (0.3120, 0.3051, 0.5591)
Bi (0.6880, 0.6949, 0.4409)
Cl (0.1599, 0.6083, 0.2762)
Cl (0.2930, 0.5988, 0.7284)
Cl (0.3004, 0.0455, 0.3763)
Cl (0.6996, 0.9545, 0.6237)
Cl (0.7070, 0.4012, 0.2716)
Cl (0.8401, 0.3917, 0.7238)

Entry from Alexandria: a relaxed structure of K2HgBiCl6 (PBEsol).

Total moment, μB/atom: 0.000
Formation energy without anion corrections, eV per atom: -1.171
Theoretical density, Mg/m³: 3.60
Crystal system: cubic
Fermi-level density of states, states/eV/f.u.: 2.5

a b c (Å): 7.7009 7.7009 7.7009
angles (deg): 60.00 60.00 60.00
Element x y z (fractional)
K (0.2500, 0.2500, 0.2500)
K (0.7500, 0.7500, 0.7500)
Hg (0.0000, 0.0000, 0.0000)
Bi (0.5000, 0.5000, 0.5000)
Cl (0.2536, 0.2536, 0.7464)
Cl (0.2536, 0.7464, 0.2536)
Cl (0.2536, 0.7464, 0.7464)
Cl (0.7464, 0.2536, 0.2536)
Cl (0.7464, 0.2536, 0.7464)
Cl (0.7464, 0.7464, 0.2536)

Question: Among the records above, which one has the highest total moment?
Answer: TaBiH2Cl

Question: The highest total moment belongs to which entry?
Answer: TaBiH2Cl